Here is crystalline Ce2In5Ni3 at its relaxed geometry from Alexandria. Energies are from PBE.

Properties
E = -4.6389 eV/atom
N(E_F) = 1.051 states/eV per atom
Magnetic moment = 0.753 μB/cell

a = 13.1581 Å, b = 13.1581 Å, c = 7.2301 Å
α = 90.00°, β = 90.00°, γ = 160.61°
Fractional coordinates of all 20 atoms:
Ce: 0.0286 0.9714 0.5000
Ce: 0.3269 0.6731 0.5941
Ce: 0.6731 0.3269 0.0941
Ce: 0.9714 0.0286 0.0000
In: 0.0949 0.9051 0.8893
In: 0.2059 0.7941 0.3972
In: 0.2096 0.7904 0.8007
In: 0.3727 0.6273 0.0495
In: 0.4495 0.5505 0.6658
In: 0.5505 0.4495 0.1658
In: 0.6273 0.3727 0.5495
In: 0.7904 0.2096 0.3007
In: 0.7941 0.2059 0.8972
In: 0.9051 0.0949 0.3893
Ni: 0.1077 0.8923 0.2712
Ni: 0.2688 0.7312 0.1015
Ni: 0.4542 0.5458 0.2809
Ni: 0.5458 0.4542 0.7809
Ni: 0.7312 0.2688 0.6015
Ni: 0.8923 0.1077 0.7712

***

Here is crystalline Ce2InNi9 at its relaxed geometry from Alexandria. Energies are from PBE.

Properties
E = -5.8117 eV/atom
N(E_F) = 1.155 states/eV per atom
Magnetic moment = 0.000 μB/cell

a = 8.7167 Å, b = 8.7167 Å, c = 8.7167 Å
α = 32.57°, β = 32.57°, γ = 32.57°
Fractional coordinates of all 12 atoms:
Ce: 0.1358 0.1358 0.1358
Ce: 0.8642 0.8642 0.8642
In: 0.0000 0.0000 0.0000
Ni: 0.0823 0.5824 0.5824
Ni: 0.3326 0.3326 0.3326
Ni: 0.4176 0.4176 0.9177
Ni: 0.4176 0.9177 0.4176
Ni: 0.5000 0.5000 0.5000
Ni: 0.5824 0.0823 0.5824
Ni: 0.5824 0.5824 0.0823
Ni: 0.6674 0.6674 0.6674
Ni: 0.9177 0.4176 0.4176

***

Here is crystalline CeInNi2 at its relaxed geometry from Alexandria. Energies are from PBE.

Properties
E = -5.2536 eV/atom
N(E_F) = 0.956 states/eV per atom
Magnetic moment = 0.000 μB/cell

a = 3.2049 Å, b = 3.2049 Å, c = 6.8422 Å
α = 90.00°, β = 90.00°, γ = 90.00°
Fractional coordinates of all 4 atoms:
Ce: 0.0000 0.0000 0.0000
In: 0.0000 0.0000 0.5000
Ni: 0.5000 0.5000 0.2774
Ni: 0.5000 0.5000 0.7226

***

Here is crystalline Ce2InNi2 at its relaxed geometry from Alexandria. Energies are from PBE.

Properties
E = -5.7031 eV/atom
N(E_F) = 1.419 states/eV per atom
Magnetic moment = 0.000 μB/cell

a = 7.5351 Å, b = 7.5351 Å, c = 3.6449 Å
α = 90.00°, β = 90.00°, γ = 90.00°
Fractional coordinates of all 10 atoms:
Ce: 0.1730 0.3270 0.0000
Ce: 0.3270 0.8270 0.0000
Ce: 0.6730 0.1730 0.0000
Ce: 0.8270 0.6730 0.0000
In: 0.0000 0.0000 0.5000
In: 0.5000 0.5000 0.5000
Ni: 0.1250 0.6250 0.5000
Ni: 0.3750 0.1250 0.5000
Ni: 0.6250 0.8750 0.5000
Ni: 0.8750 0.3750 0.5000

***

Here is crystalline Ce2InNi at its relaxed geometry from Alexandria. Energies are from PBE.

Properties
Energy above the lowest structure with this stoichiometry = 0.016 eV per atom
N(E_F) = 1.918 states/eV per atom
Magnetic moment = 0.751 μB/cell

a = 3.5735 Å, b = 3.5735 Å, c = 7.3757 Å
α = 90.00°, β = 90.00°, γ = 90.00°
Fractional coordinates of all 4 atoms:
Ce: 0.0000 0.0000 0.1958
Ce: 0.0000 0.0000 0.8042
In: 0.5000 0.5000 0.5000
Ni: 0.5000 0.5000 0.0000

***

Here is crystalline Ce2InNi at its relaxed geometry from Alexandria. Energies are from PBE.

Properties
Energy above the lowest structure with this stoichiometry = 0.000 eV per atom
N(E_F) = 1.627 states/eV per atom
Magnetic moment = 0.000 μB/cell

a = 6.9580 Å, b = 6.9580 Å, c = 7.9358 Å
α = 95.08°, β = 95.08°, γ = 28.52°
Fractional coordinates of all 8 atoms:
Ce: 0.0684 0.0684 0.3006
Ce: 0.2442 0.2442 0.6944
Ce: 0.7558 0.7558 0.3056
Ce: 0.9316 0.9316 0.6994
In: 0.3932 0.3932 0.0537
In: 0.6068 0.6068 0.9463
Ni: 0.4143 0.4143 0.4023
Ni: 0.5857 0.5857 0.5977

***

Here is crystalline CeIn3Ni at its relaxed geometry from Alexandria. Energies are from PBE.

Properties
Energy above the lowest structure with this stoichiometry = 0.146 eV per atom
N(E_F) = 1.964 states/eV per atom
Magnetic moment = 1.435 μB/cell

a = 4.9606 Å, b = 4.9606 Å, c = 4.9606 Å
α = 90.00°, β = 90.00°, γ = 90.00°
Fractional coordinates of all 5 atoms:
Ce: 0.0000 0.0000 0.0000
In: 0.0000 0.5000 0.5000
In: 0.5000 0.0000 0.5000
In: 0.5000 0.5000 0.0000
Ni: 0.5000 0.5000 0.5000

***

Here is crystalline CeInNi10 at its relaxed geometry from Alexandria. Energies are from PBE.

Properties
E = -5.6875 eV/atom
N(E_F) = 1.164 states/eV per atom
Magnetic moment = 2.998 μB/cell

a = 4.0229 Å, b = 4.8129 Å, c = 8.3349 Å
α = 90.00°, β = 90.00°, γ = 90.00°
Fractional coordinates of all 12 atoms:
Ce: 0.0000 0.0000 0.0000
In: 0.0000 0.5000 0.5000
Ni: 0.0000 0.0000 0.3384
Ni: 0.0000 0.0000 0.6616
Ni: 0.0000 0.5000 0.1755
Ni: 0.0000 0.5000 0.8245
Ni: 0.5000 0.0000 0.5000
Ni: 0.5000 0.2504 0.2518
Ni: 0.5000 0.2504 0.7482
Ni: 0.5000 0.5000 0.0000
Ni: 0.5000 0.7496 0.2518
Ni: 0.5000 0.7496 0.7482

***

Here is crystalline CeInNi2 at its relaxed geometry from Alexandria. Energies are from PBE.

Properties
E = -5.4087 eV/atom
N(E_F) = 1.066 states/eV per atom
Magnetic moment = 0.002 μB/cell

a = 4.9102 Å, b = 4.9102 Å, c = 4.9102 Å
α = 54.99°, β = 54.99°, γ = 54.99°
Fractional coordinates of all 4 atoms:
Ce: 0.0000 0.0000 0.0000
In: 0.5000 0.5000 0.5000
Ni: 0.2146 0.2146 0.2146
Ni: 0.7854 0.7854 0.7854

***

Here is crystalline CeIn6Ni3 at its relaxed geometry from Alexandria. Energies are from PBE.

Properties
E = -4.2296 eV/atom
N(E_F) = 0.878 states/eV per atom
Magnetic moment = 1.458 μB/cell

a = 4.3704 Å, b = 7.6844 Å, c = 12.1118 Å
α = 90.00°, β = 90.00°, γ = 90.00°
Fractional coordinates of all 20 atoms:
Ce: 0.2500 0.2500 0.1719
Ce: 0.7500 0.7500 0.8281
In: 0.2500 0.0510 0.9148
In: 0.2500 0.2500 0.4914
In: 0.2500 0.4490 0.9148
In: 0.2500 0.5486 0.6635
In: 0.2500 0.7500 0.2490
In: 0.2500 0.9514 0.6635
In: 0.7500 0.0486 0.3365
In: 0.7500 0.2500 0.7510
In: 0.7500 0.4514 0.3365
In: 0.7500 0.5510 0.0852
In: 0.7500 0.7500 0.5086
In: 0.7500 0.9490 0.0852
Ni: 0.2500 0.5739 0.4349
Ni: 0.2500 0.7500 0.0298
Ni: 0.2500 0.9261 0.4349
Ni: 0.7500 0.0739 0.5651
Ni: 0.7500 0.2500 0.9702
Ni: 0.7500 0.4261 0.5651

***

Here is crystalline CeIn6Ni6 at its relaxed geometry from Alexandria. Energies are from PBE.

Properties
E = -4.5795 eV/atom
N(E_F) = 1.021 states/eV per atom
Magnetic moment = 0.645 μB/cell

a = 7.0033 Å, b = 7.0033 Å, c = 7.0033 Å
α = 135.47°, β = 99.33°, γ = 97.18°
Fractional coordinates of all 13 atoms:
Ce: 0.0000 0.0000 0.0000
In: 0.1829 0.6829 0.5000
In: 0.3339 0.0000 0.3339
In: 0.3431 0.3431 0.0000
In: 0.6569 0.6569 0.0000
In: 0.6661 0.0000 0.6661
In: 0.8171 0.3171 0.5000
Ni: 0.0000 0.0000 0.5000
Ni: 0.0000 0.5000 0.0000
Ni: 0.2351 0.5000 0.7351
Ni: 0.5000 0.0000 0.0000
Ni: 0.5000 0.5000 0.5000
Ni: 0.7649 0.5000 0.2649

***

Here is crystalline CeInNi17 at its relaxed geometry from Alexandria. Energies are from PBE.

Properties
E = -5.6994 eV/atom
N(E_F) = 1.357 states/eV per atom
Magnetic moment = 6.516 μB/cell

a = 6.2316 Å, b = 6.2316 Å, c = 6.2316 Å
α = 82.79°, β = 82.79°, γ = 82.79°
Fractional coordinates of all 19 atoms:
Ce: 0.0000 0.0000 0.0000
In: 0.3168 0.3168 0.3168
Ni: 0.0116 0.0116 0.4978
Ni: 0.0116 0.4978 0.0116
Ni: 0.1543 0.6641 0.6641
Ni: 0.3163 0.3163 0.8046
Ni: 0.3163 0.8046 0.3163
Ni: 0.3645 0.6596 0.9565
Ni: 0.3645 0.9565 0.6596
Ni: 0.4978 0.0116 0.0116
Ni: 0.5572 0.5572 0.5572
Ni: 0.6596 0.3645 0.9565
Ni: 0.6596 0.9565 0.3645
Ni: 0.6641 0.1543 0.6641
Ni: 0.6641 0.6641 0.1543
Ni: 0.7569 0.7569 0.7569
Ni: 0.8046 0.3163 0.3163
Ni: 0.9565 0.3645 0.6596
Ni: 0.9565 0.6596 0.3645